Record 1
Material: BaRuCl4
Method: DFT, PBE
State: optimized geometry

extended XYZ file:
```
6
Lattice="5.563 1.719 1.691 1.409 0.344 5.887 3.808 -4.035 2.447" Properties=species:S:1:pos:R:3 pbc="T T T"
Cl 4.049 -0.741 3.766
Cl 5.943 -2.747 4.983
Cl 4.750 -0.570 6.694
Cl 6.816 0.115 4.607
Ru 8.085 -1.479 7.519
Ba 0.000 0.000 0.000
```



Record 2
Material: BaRu2Cl
Method: DFT, PBE
State: optimized geometry

extended XYZ file:
```
4
Lattice="4.987 0.000 0.000 2.494 4.319 0.000 2.494 1.440 4.072" Properties=species:S:1:pos:R:3 pbc="T T T"
Ru 2.494 1.440 1.018
Ru 0.000 0.000 0.000
Cl 7.481 4.319 3.054
Ba 4.987 2.879 2.036
```

Summary:
offset from the most stable computed form	3.05	eV/f.u.



Record 3
Material: BaRu2Cl
Method: DFT, PBE
State: optimized geometry

extended XYZ file:
```
4
Lattice="-1.112 -1.596 -2.572 2.470 -2.062 0.211 -4.223 -4.580 4.668" Properties=species:S:1:pos:R:3 pbc="T T T"
Ru -3.920 -4.251 4.333
Ru -2.414 -2.619 2.669
Ba -0.377 -2.974 -0.013
Cl -2.488 -5.264 2.321
```

Summary:
offset from the most stable computed form	4.54	eV/f.u.



Number 1: formation energy (no corrections) 63 meV/atom, spin magnetization 4.06 μB per cell. Number 2: formation energy (no corrections) 704 meV/atom, spin magnetization 3.61 μB per cell. Number 3: formation energy (no corrections) 1076 meV/atom, spin magnetization 1.71 μB per cell.